VASP calculation (PBE-GGA) on NaScPdS3 after structural relaxation.

Output
Its space-group type is No. 63. As for the offset from the most stable computed form: 34 meV/atom.

abc: 7.085 7.085 9.586
angles: 90.00 90.00 149.33
Fractional positions:
Na (0.235, 0.765, 0.750)
Na (0.765, 0.235, 0.250)
Sc (0.000, 0.000, 0.000)
Sc (0.000, 0.000, 0.500)
Pd (0.488, 0.512, 0.250)
Pd (0.512, 0.488, 0.750)
S (0.095, 0.905, 0.250)
S (0.375, 0.625, 0.064)
S (0.375, 0.625, 0.436)
S (0.625, 0.375, 0.564)
S (0.625, 0.375, 0.936)
S (0.905, 0.095, 0.750)

VASP calculation (PBE-GGA) on Na2Sb2Pd after structural relaxation.

Output
Its space-group type is No. 127. For the uncorrected energy, the calculation gives -36.342 eV/cell.

abc: 6.988 6.988 5.109
angles: 90.00 90.00 90.00
Fractional positions:
Na (0.169, 0.331, 0.000)
Na (0.331, 0.831, 0.000)
Na (0.669, 0.169, 0.000)
Na (0.831, 0.669, 0.000)
Sb (0.147, 0.647, 0.500)
Sb (0.353, 0.147, 0.500)
Sb (0.647, 0.853, 0.500)
Sb (0.853, 0.353, 0.500)
Pd (0.000, 0.000, 0.500)
Pd (0.500, 0.500, 0.500)

VASP calculation (PBE-GGA) on NaSbPd after structural relaxation.

Output
Its space-group type is No. 63. For the uncorrected energy, the calculation gives -24.234 eV/cell.

abc: 6.621 6.621 6.476
angles: 90.00 90.00 151.43
Fractional positions:
Na (0.163, 0.837, 0.750)
Na (0.837, 0.163, 0.250)
Sb (0.115, 0.885, 0.250)
Sb (0.885, 0.115, 0.750)
Pd (0.500, 0.500, 0.000)
Pd (0.500, 0.500, 0.500)

VASP calculation (PBE-GGA) on Na2Sb2Pd3 after structural relaxation.

Output
Its space-group type is No. 160. For the uncorrected energy, the calculation gives -29.186 eV/cell.

abc: 7.980 7.980 7.980
angles: 33.63 33.63 33.63
Fractional positions:
Na (0.000, 0.000, 0.000)
Na (0.485, 0.485, 0.485)
Sb (0.241, 0.241, 0.241)
Sb (0.740, 0.740, 0.740)
Pd (0.362, 0.362, 0.362)
Pd (0.615, 0.615, 0.615)
Pd (0.872, 0.872, 0.872)

VASP calculation (PBE-GGA) on NaSb5Pd3 after structural relaxation.

Output
Its space-group type is No. 191. For the uncorrected energy, the calculation gives -39.695 eV/cell.

abc: 5.636 5.636 8.359
angles: 90.00 90.00 120.00
Fractional positions:
Na (0.000, 0.000, 0.000)
Sb (0.000, 0.000, 0.500)
Sb (0.333, 0.667, 0.226)
Sb (0.333, 0.667, 0.774)
Sb (0.667, 0.333, 0.226)
Sb (0.667, 0.333, 0.774)
Pd (0.000, 0.500, 0.500)
Pd (0.500, 0.000, 0.500)
Pd (0.500, 0.500, 0.500)

VASP calculation (PBE-GGA) on NaSbPd after structural relaxation.

Output
Its space-group type is No. 216. For the uncorrected energy, the calculation gives -11.573 eV/cell.

abc: 4.566 4.566 4.566
angles: 60.00 60.00 60.00
Fractional positions:
Na (0.000, 0.000, 0.000)
Sb (0.500, 0.500, 0.500)
Pd (0.250, 0.250, 0.250)

VASP calculation (PBE-GGA) on NaSbPd after structural relaxation.

Output
Its space-group type is No. 216. For the uncorrected energy, the calculation gives -9.922 eV/cell.

abc: 4.581 4.581 4.581
angles: 60.00 60.00 60.00
Fractional positions:
Na (0.000, 0.000, 0.000)
Sb (0.250, 0.250, 0.250)
Pd (0.750, 0.750, 0.750)

VASP calculation (PBE-GGA) on Na2SbPd3 after structural relaxation.

Output
Its space-group type is No. 166. For the uncorrected energy, the calculation gives -24.981 eV/cell.

abc: 5.321 5.321 5.321
angles: 64.50 64.50 64.50
Fractional positions:
Na (0.123, 0.123, 0.123)
Na (0.877, 0.877, 0.877)
Sb (0.500, 0.500, 0.500)
Pd (0.000, 0.500, 0.500)
Pd (0.500, 0.000, 0.500)
Pd (0.500, 0.500, 0.000)

VASP calculation (PBE-GGA) on NaSbTe3Pd after structural relaxation.

Output
Its space-group type is No. 11. For the uncorrected energy, the calculation gives -43.815 eV/cell.

abc: 8.096 4.321 10.202
angles: 90.00 98.53 90.00
Fractional positions:
Na (0.220, 0.250, 0.319)
Na (0.780, 0.750, 0.681)
Sb (0.314, 0.750, 0.872)
Sb (0.686, 0.250, 0.128)
Te (0.048, 0.250, 0.856)
Te (0.248, 0.750, 0.570)
Te (0.424, 0.750, 0.165)
Te (0.576, 0.250, 0.835)
Te (0.752, 0.250, 0.430)
Te (0.952, 0.750, 0.144)
Pd (0.058, 0.250, 0.585)
Pd (0.942, 0.750, 0.415)

VASP calculation (PBE-GGA) on NaZnSbPd after structural relaxation.

Output
Its space-group type is No. 216. As for the offset from the most stable computed form: 0 meV/atom.

abc: 4.728 4.728 4.728
angles: 60.00 60.00 60.00
Fractional positions:
Na (0.000, 0.000, 0.000)
Zn (0.750, 0.750, 0.750)
Sb (0.250, 0.250, 0.250)
Pd (0.500, 0.500, 0.500)

VASP calculation (PBE-GGA) on NaZnSbPd after structural relaxation.

Output
Its space-group type is No. 216. As for the offset from the most stable computed form: 111 meV/atom.

abc: 4.759 4.759 4.759
angles: 60.00 60.00 60.00
Fractional positions:
Na (0.000, 0.000, 0.000)
Zn (0.500, 0.500, 0.500)
Sb (0.250, 0.250, 0.250)
Pd (0.750, 0.750, 0.750)

VASP calculation (PBE-GGA) on NaZnSbPd after structural relaxation.

Output
Its space-group type is No. 216. As for the offset from the most stable computed form: 30 meV/atom.

abc: 4.763 4.763 4.763
angles: 60.00 60.00 60.00
Fractional positions:
Na (0.000, 0.000, 0.000)
Zn (0.750, 0.750, 0.750)
Sb (0.500, 0.500, 0.500)
Pd (0.250, 0.250, 0.250)

VASP calculation (PBE-GGA) on NaPd2Se3 after structural relaxation.

Output
Its space-group type is No. 164. For the uncorrected energy, the calculation gives -50.689 eV/cell.

abc: 7.458 7.458 5.812
angles: 90.00 90.00 120.00
Fractional positions:
Na (0.333, 0.667, 0.379)
Na (0.667, 0.333, 0.621)
Pd (0.000, 0.000, 0.000)
Pd (0.000, 0.500, 0.000)
Pd (0.500, 0.000, 0.000)
Pd (0.500, 0.500, 0.000)
Se (0.171, 0.342, 0.784)
Se (0.171, 0.829, 0.784)
Se (0.342, 0.171, 0.216)
Se (0.658, 0.829, 0.784)
Se (0.829, 0.171, 0.216)
Se (0.829, 0.658, 0.216)

VASP calculation (PBE-GGA) on NaSmPdSe3 after structural relaxation.

Output
Its space-group type is No. 63. For the uncorrected energy, the calculation gives -56.331 eV/cell.

abc: 7.523 7.523 10.304
angles: 90.00 90.00 148.75
Fractional positions:
Na (0.237, 0.763, 0.750)
Na (0.763, 0.237, 0.250)
Sm (0.000, 0.000, 0.000)
Sm (0.000, 0.000, 0.500)
Pd (0.492, 0.508, 0.250)
Pd (0.508, 0.492, 0.750)
Se (0.100, 0.900, 0.250)
Se (0.366, 0.634, 0.082)
Se (0.366, 0.634, 0.418)
Se (0.634, 0.366, 0.582)
Se (0.634, 0.366, 0.918)
Se (0.900, 0.100, 0.750)

VASP calculation (PBE-GGA) on NaTbPdSe3 after structural relaxation.

Output
Its space-group type is No. 63. For the uncorrected energy, the calculation gives -56.283 eV/cell.

abc: 7.566 7.566 10.158
angles: 90.00 90.00 149.21
Fractional positions:
Na (0.236, 0.764, 0.750)
Na (0.764, 0.236, 0.250)
Tb (0.000, 0.000, 0.000)
Tb (0.000, 0.000, 0.500)
Pd (0.491, 0.509, 0.250)
Pd (0.509, 0.491, 0.750)
Se (0.100, 0.900, 0.250)
Se (0.368, 0.632, 0.078)
Se (0.368, 0.632, 0.422)
Se (0.632, 0.368, 0.578)
Se (0.632, 0.368, 0.922)
Se (0.900, 0.100, 0.750)

VASP calculation (PBE-GGA) on NaSi2Pd2 after structural relaxation.

Output
Its space-group type is No. 139. As for the offset from the most stable computed form: 0 meV/atom.

abc: 5.814 5.814 5.814
angles: 138.66 138.66 59.89
Fractional positions:
Na (0.000, 0.000, 0.000)
Si (0.383, 0.383, 0.000)
Si (0.617, 0.617, 0.000)
Pd (0.250, 0.750, 0.500)
Pd (0.750, 0.250, 0.500)

VASP calculation (PBE-GGA) on NaSiPd2 after structural relaxation.

Output
Its space-group type is No. 187. For the uncorrected energy, the calculation gives -17.046 eV/cell.

abc: 2.852 2.852 9.618
angles: 90.00 90.00 120.00
Fractional positions:
Na (0.000, 0.000, 0.000)
Si (0.333, 0.667, 0.500)
Pd (0.333, 0.667, 0.257)
Pd (0.333, 0.667, 0.743)

VASP calculation (PBE-GGA) on NaSi2Pd2 after structural relaxation.

Output
Its space-group type is No. 139. As for the offset from the most stable computed form: 154 meV/atom.

abc: 6.109 6.109 6.109
angles: 141.45 141.45 55.65
Fractional positions:
Na (0.000, 0.000, 0.000)
Si (0.250, 0.750, 0.500)
Si (0.750, 0.250, 0.500)
Pd (0.373, 0.373, 0.000)
Pd (0.627, 0.627, 0.000)

VASP calculation (PBE-GGA) on Na4SiSnPd2 after structural relaxation.

Output
Its space-group type is No. 115. For the uncorrected energy, the calculation gives -26.020 eV/cell.

abc: 4.673 4.673 6.784
angles: 90.00 90.00 90.00
Fractional positions:
Na (0.000, 0.000, 0.000)
Na (0.000, 0.500, 0.234)
Na (0.500, 0.000, 0.766)
Na (0.500, 0.500, 0.500)
Si (0.500, 0.500, 0.000)
Sn (0.000, 0.000, 0.500)
Pd (0.000, 0.500, 0.770)
Pd (0.500, 0.000, 0.230)

VASP calculation (PBE-GGA) on Na4TlSiPd2 after structural relaxation.

Output
Its space-group type is No. 115. For the uncorrected energy, the calculation gives -24.052 eV/cell.

abc: 4.683 4.683 6.908
angles: 90.00 90.00 90.00
Fractional positions:
Na (0.000, 0.000, 0.000)
Na (0.000, 0.500, 0.236)
Na (0.500, 0.000, 0.764)
Na (0.500, 0.500, 0.500)
Tl (0.000, 0.000, 0.500)
Si (0.500, 0.500, 0.000)
Pd (0.000, 0.500, 0.792)
Pd (0.500, 0.000, 0.208)